Record 1
Density functional theory data (PBE) for crystalline AcZnHg at its relaxed geometry.

Values from the calculation:
Electronic total energy, eV/cell: -12.8
Magnetization, μB per formula unit: 0.00
Mass density, g cm⁻³: 9.74
ΔE_f, eV/atom: -0.236
Energy relative to the lowest polymorph listed for this composition, meV/atom: 157
Density of states at the Fermi level, states/eV/f.u.: 2.46

abc: 3.936 3.936 10.847
angles: 90.00 90.00 90.00
Space group I4mm (No. 107)
Asymmetric unit:
Ac1 0.000 0.000 0.000
Zn1 0.000 0.000 0.676
Hg1 0.000 0.000 0.311


Record 2
Density functional theory data (PBE) for crystalline AcZnHg2 at its relaxed geometry.

Values from the calculation:
Electronic total energy, eV/cell: -29.5
Magnetization, μB per formula unit: 0.00
Mass density, g cm⁻³: 10.84
ΔE_f, eV/atom: -0.348
Density of states at the Fermi level, states/eV/f.u.: 3.09

abc: 4.312 20.384 4.837
angles: 90.00 90.00 90.00
Space group Cmcm (No. 63)
Asymmetric unit:
Ac1 0.000 0.109 0.250
Zn1 0.000 0.330 0.250
Hg1 0.000 0.255 0.750
Hg2 0.000 0.462 0.250


Record 3
Density functional theory data (PBE) for crystalline AcZnHg at its relaxed geometry.

Values from the calculation:
Electronic total energy, eV/cell: -25.7
Magnetization, μB per formula unit: 0.00
Mass density, g cm⁻³: 9.20
ΔE_f, eV/atom: -0.245
Energy relative to the lowest polymorph listed for this composition, meV/atom: 148
Density of states at the Fermi level, states/eV/f.u.: 3.79

abc: 7.087 7.087 7.087
angles: 90.00 90.00 90.00
Space group F-43m (No. 216)
Asymmetric unit:
Ac1 0.000 0.000 0.000
Zn1 0.250 0.250 0.250
Hg1 0.000 0.000 0.500